The following is a PBE calculation of a relaxed structure of La2Sm6Dy, from Alexandria.

The structure belongs to space group P-6m2 (No. 187); the cell edges are 3.6469, 3.6469 and 27.0823 Å and the angles 90.00°, 90.00° and 120.00°. The distinct sites, in fractional coordinates, are La at (0.0000, 0.0000, 0.1710), Sm at (0.0000, 0.0000, 0.3936), Sm at (0.6667, 0.3333, 0.0621), Sm at (0.6667, 0.3333, 0.2862) and Dy at (0.6667, 0.3333, 0.5000).

As for the formation energy from the elements: 0.063 eV per atom. As for the distance to the lowest polymorph of the same formula: 0.39 eV per formula unit.